{
  "formula": "KSnHg2Bi",
  "functional": "PBE",
  "state": "relaxed",
  "ef_ev_per_atom": -0.01,
  "total_magnetization_mub_per_fu": 0.00,
  "sg": "No. 123",
  "lattice": [[-5.575, 1.431, -0.531], [-0.818, -4.499, -3.535], [-1.354, -3.504, 4.772]],
  "species": ["K", "Bi", "Sn", "Hg", "Hg"],
  "fractional_positions": [[0.500, 0.500, 0.500], [0.000, 0.000, 0.500], [0.000, 0.000, 0.000], [0.000, 0.500, 0.000], [0.500, 0.000, 0.000]]
}